{"formula": "YCrTe2", "functional": "PBE", "state": "relaxed", "total_energy_ev_per_atom": -5.71, "crystal_system": "cubic", "space_group": "Fm-3m", "lattice_angstrom": [[0.000, 3.562, 3.562], [3.562, 0.000, 3.562], [3.562, 3.562, 0.000]], "species": ["Y", "Cr", "Te", "Te"], "frac_coords": [[0.000, 0.000, 0.000], [0.500, 0.500, 0.500], [0.250, 0.250, 0.250], [0.750, 0.750, 0.750]]}